(1)
A plane-wave DFT calculation with PBE was carried out for a relaxed structure of BaBrCl.

Cell and atoms, written as POSCAR:
```
BaBrCl
1.0
-4.874 7.193 4.153
4.874 -7.193 4.153
4.874 7.193 -4.153
Ba Br Cl
6 6 6
direct
0.167 0.000 0.167
0.167 0.500 0.667
0.500 0.250 0.750
0.500 0.750 0.250
0.833 0.000 0.833
0.833 0.500 0.333
0.088 0.338 0.250
0.088 0.838 0.750
0.500 0.456 0.544
0.500 0.956 0.044
0.912 0.456 0.956
0.912 0.956 0.456
0.245 0.373 0.873
0.245 0.872 0.372
0.500 0.372 0.127
0.500 0.873 0.628
0.755 0.255 0.500
0.755 0.755 0.000
```

Results
Relative energy among the computed polymorphs (kJ per mole of atoms): 0.7
Space-group type: No. 46
Theoretical density (g cm⁻³): 4.3
Crystal system: orthorhombic

=====

(2)
A plane-wave DFT calculation with PBE was carried out for a relaxed structure of La2Hg3Au4.

Cell and atoms, written as POSCAR:
```
La2Hg3Au4
1.0
4.300 -2.531 0.000
4.300 2.531 0.000
-0.634 0.000 9.920
La Hg Au
2 3 4
direct
0.153 0.153 0.277
0.847 0.847 0.723
0.188 0.188 0.912
0.500 0.500 0.500
0.812 0.812 0.088
0.172 0.172 0.590
0.477 0.477 0.142
0.523 0.523 0.858
0.828 0.828 0.410
```

Results
E_form (kJ/mol of formula units): -463
Space-group type: No. 12
Theoretical density (g cm⁻³): 12.8
Crystal system: monoclinic

=====

(3)
A plane-wave DFT calculation with PBE was carried out for a relaxed structure of Pr2NdSmSe4.

Cell and atoms, written as POSCAR:
```
Pr2NdSmSe4
1.0
7.357 0.000 0.000
0.000 4.184 0.000
-2.386 0.000 6.975
Pr Nd Sm Se
2 1 1 4
direct
0.000 0.000 0.000
0.500 0.500 0.000
0.000 0.500 0.500
0.500 0.000 0.500
0.251 0.000 0.745
0.255 0.500 0.257
0.745 0.500 0.743
0.749 0.000 0.255
```

Results
Space-group type: No. 10
Electronic total energy (eV/f.u.): -47.66
Theoretical density (g cm⁻³): 6.9
Crystal system: monoclinic

=====

(4)
A plane-wave DFT calculation with PBE was carried out for a relaxed structure of MgPaNi4H6.

Cell and atoms, written as POSCAR:
```
MgPaNi4H6
1.0
4.332 0.000 0.000
-2.166 3.752 0.000
0.000 0.000 6.531
Mg Pa Ni H
1 1 4 6
direct
0.000 0.000 0.000
0.000 0.000 0.500
0.333 0.667 0.188
0.333 0.667 0.812
0.667 0.333 0.188
0.667 0.333 0.812
0.000 0.500 0.350
0.000 0.500 0.650
0.500 0.000 0.350
0.500 0.000 0.650
0.500 0.500 0.350
0.500 0.500 0.650
```

Results
Space-group type: No. 191
Electronic total energy (eV/f.u.): -57.28
Theoretical density (g cm⁻³): 7.8
Crystal system: hexagonal

=====

(5)
A plane-wave DFT calculation with PBE was carried out for a relaxed structure of TbCeY.

Cell and atoms, written as POSCAR:
```
TbCeY
1.0
3.480 0.000 0.000
0.000 5.384 0.000
-1.739 0.000 10.048
Tb Ce Y
2 2 2
direct
0.042 0.250 0.084
0.958 0.750 0.916
0.208 0.250 0.417
0.792 0.750 0.583
0.382 0.250 0.763
0.618 0.750 0.237
```

Results
E_form (kJ/mol of formula units): 27
Relative energy among the computed polymorphs (kJ per mole of atoms): 2.5
Space-group type: No. 11
Theoretical density (g cm⁻³): 6.8
Crystal system: monoclinic

=====

(6)
A plane-wave DFT calculation with PBE was carried out for a relaxed structure of SrTb2Ho3Te6.

Cell and atoms, written as POSCAR:
```
SrTb2Ho3Te6
1.0
9.616 -2.202 0.000
9.616 2.202 0.000
-2.124 0.000 8.583
Sr Tb Ho Te
1 2 3 6
direct
0.000 0.000 0.000
0.328 0.328 0.654
0.672 0.672 0.346
0.000 0.000 0.500
0.337 0.337 0.181
0.663 0.663 0.819
0.164 0.164 0.583
0.173 0.173 0.082
0.497 0.497 0.737
0.503 0.503 0.263
0.827 0.827 0.918
0.836 0.836 0.417
```

Results
Space-group type: No. 12
Electronic total energy (eV/f.u.): -59.54
Theoretical density (g cm⁻³): 7.6
Crystal system: monoclinic

=====

(7)
A plane-wave DFT calculation with PBE was carried out for a relaxed structure of PtCS2Cl.

Cell and atoms, written as POSCAR:
```
PtCS2Cl
1.0
5.033 0.000 0.000
0.000 5.033 0.000
0.000 0.000 3.808
Pt C S Cl
1 1 2 1
direct
0.000 0.000 0.000
0.000 0.000 0.500
0.000 0.500 0.000
0.500 0.000 0.000
0.500 0.500 0.500
```

Results
Relative energy among the computed polymorphs (kJ per mole of atoms): 0.0
Space-group type: No. 123
Theoretical density (g cm⁻³): 5.3
Crystal system: tetragonal

=====

(8)
A plane-wave DFT calculation with PBE was carried out for a relaxed structure of TiAg2Au2.

Cell and atoms, written as POSCAR:
```
TiAg2Au2
1.0
6.984 0.000 0.000
0.000 6.984 0.000
0.000 0.000 3.921
Ti Ag Au
2 4 4
direct
0.000 0.000 0.000
0.500 0.500 0.000
0.162 0.338 0.500
0.338 0.838 0.500
0.662 0.162 0.500
0.838 0.662 0.500
0.140 0.640 0.000
0.360 0.140 0.000
0.640 0.860 0.000
0.860 0.360 0.000
```

Results
E_form (kJ/mol of formula units): 40
Relative energy among the computed polymorphs (kJ per mole of atoms): 0.0
Space-group type: No. 127
Theoretical density (g cm⁻³): 11.4
Crystal system: tetragonal

=====

(9)
A plane-wave DFT calculation with PBE was carried out for a relaxed structure of KMn2Pd2.

Cell and atoms, written as POSCAR:
```
KMn2Pd2
1.0
-1.567 1.567 9.379
1.567 -1.567 9.379
1.567 1.567 -9.379
K Mn Pd
1 2 2
direct
0.000 0.000 0.000
0.250 0.750 0.500
0.750 0.250 0.500
0.363 0.363 0.000
0.637 0.637 0.000
```

Results
E_form (kJ/mol of formula units): 253
Relative energy among the computed polymorphs (kJ per mole of atoms): 39.8
Space-group type: No. 139
Theoretical density (g cm⁻³): 6.5
Crystal system: tetragonal

=====

(10)
A plane-wave DFT calculation with PBE was carried out for a relaxed structure of Nd2P3Pd4Au.

Cell and atoms, written as POSCAR:
```
Nd2P3Pd4Au
1.0
4.177 0.000 0.000
0.000 4.177 0.000
0.000 0.000 10.568
Nd P Pd Au
2 3 4 1
direct
0.000 0.500 0.241
0.500 0.000 0.759
0.000 0.500 0.872
0.500 0.000 0.128
0.500 0.500 0.500
0.000 0.000 0.000
0.000 0.500 0.654
0.500 0.000 0.346
0.500 0.500 0.000
0.000 0.000 0.500
```

Results
E_form (kJ/mol of formula units): -777
Space-group type: No. 115
Theoretical density (g cm⁻³): 9.0
Crystal system: tetragonal

=====

(11)
A plane-wave DFT calculation with PBE was carried out for a relaxed structure of Ag6TeSeCl2.

Cell and atoms, written as POSCAR:
```
Ag6TeSeCl2
1.0
5.816 -3.628 0.000
5.816 3.628 0.000
-4.889 0.000 5.784
Ag Te Se Cl
6 1 1 2
direct
0.186 0.693 0.681
0.240 0.240 0.957
0.307 0.814 0.319
0.693 0.186 0.681
0.760 0.760 0.043
0.814 0.307 0.319
0.500 0.500 0.000
0.000 0.000 0.500
0.251 0.251 0.304
0.749 0.749 0.696
```

Results
Space-group type: No. 12
Electronic total energy (eV/f.u.): -28.89
Theoretical density (g cm⁻³): 6.3
Crystal system: monoclinic

=====

(12)
A plane-wave DFT calculation with PBE was carried out for a relaxed structure of Ca2YW.

Cell and atoms, written as POSCAR:
```
Ca2YW
1.0
-2.205 2.205 11.468
2.205 -2.205 11.468
2.205 2.205 -11.468
Ca Y W
4 2 2
direct
0.103 0.625 0.978
0.375 0.353 0.478
0.647 0.125 0.022
0.875 0.897 0.522
0.250 0.750 0.500
0.500 0.500 0.000
0.000 0.000 0.000
0.750 0.250 0.500
```

Results
E_form (kJ/mol of formula units): 414
Relative energy among the computed polymorphs (kJ per mole of atoms): 45.8
Space-group type: No. 122
Theoretical density (g cm⁻³): 5.3
Crystal system: tetragonal